## i
Material: LiV3O5F3
Method: DFT, PBE with a Hubbard U
State: optimized geometry

The spin magnetization comes out at 3.0 μB/f.u.

Structure (POSCAR):
```
LiV3O5F3
1.0
6.763 0.000 0.000
0.000 3.784 0.000
-3.028 0.000 11.866
Li V O F
2 6 10 6
Cartesian
0.000 0.000 0.000
1.066 1.892 4.600
-1.814 1.892 9.216
0.080 0.000 7.407
0.327 0.000 10.329
2.856 0.000 1.814
5.100 1.892 2.603
4.472 1.892 5.861
-1.257 0.000 8.978
-0.517 1.892 7.218
2.289 0.000 0.158
0.020 1.892 10.188
1.305 0.000 8.600
3.227 1.892 2.169
3.025 1.892 5.097
4.736 0.000 2.259
3.953 1.892 10.524
5.664 1.892 4.250
-0.288 1.892 1.325
1.468 0.000 3.064
0.866 0.000 5.693
1.880 0.000 11.330
3.673 1.892 7.710
4.873 0.000 6.137
```

## ii
Material: LiV3O5F3
Method: DFT, PBE with a Hubbard U
State: optimized geometry

The spin magnetization comes out at 3.0 μB/f.u.

Structure (POSCAR):
```
LiV3O5F3
1.0
4.549 -5.530 0.000
4.549 5.530 0.000
-0.144 0.000 5.110
Li V O F
2 6 10 6
Cartesian
4.477 3.699 2.555
4.549 -3.699 0.000
2.271 0.869 2.304
4.657 1.995 0.124
2.199 -0.869 4.859
6.692 0.897 2.707
4.585 -1.995 2.679
6.764 -0.897 0.152
3.370 3.410 0.621
3.281 0.643 0.711
5.587 3.445 4.384
3.209 -0.643 3.266
5.507 2.025 1.628
5.691 0.673 4.311
3.298 -3.410 3.176
5.763 -0.673 1.756
5.435 -2.025 4.183
5.659 -3.445 1.829
1.153 0.618 4.069
1.225 -0.618 1.514
3.470 2.065 3.360
3.542 -2.065 0.805
7.820 0.601 0.957
7.748 -0.601 3.512
```

## iii
Material: LiV3O5F3
Method: DFT, PBE with a Hubbard U
State: optimized geometry

The spin magnetization comes out at 3.0 μB/f.u.

Structure (POSCAR):
```
LiV3O5F3
1.0
4.553 -5.574 0.000
4.553 5.574 0.000
-0.120 0.000 5.088
Li V O F
2 6 10 6
Cartesian
4.493 3.727 2.544
4.553 -3.727 0.000
2.273 0.627 2.500
2.213 -0.627 5.044
4.664 1.973 0.173
6.748 0.913 2.721
4.604 -1.973 2.717
6.808 -0.913 0.177
3.424 3.444 0.644
1.242 0.550 4.163
1.302 -0.550 1.619
3.399 0.683 0.855
5.586 2.059 1.638
3.339 -0.683 3.399
5.746 0.677 4.324
3.364 -3.444 3.188
5.806 -0.677 1.780
5.526 -2.059 4.182
3.475 2.030 3.411
5.604 3.424 4.305
3.535 -2.030 0.867
7.856 0.602 0.974
7.797 -0.602 3.518
5.664 -3.424 1.761
```

Most stable structure: ii